Compound: TaI2NO
Source: Alexandria via LeMat-Bulk
Functional: GGA-PBE
Structure: relaxed

Cell and atoms, written as POSCAR:
```
TaI2NO
1.0
-0.243 -4.335 -2.312
2.565 1.862 -3.762
3.054 -1.014 1.580
N Ta O I
1 1 1 2
direct
0.000 0.000 0.000 N
0.500 0.500 0.500 Ta
0.000 0.000 0.500 O
0.000 0.500 0.000 I
0.500 0.000 0.000 I
```

E above lowest polymorph: 1172 meV/atom
total energy: -4.2274 eV per atom
formation energy without anion corrections: 1.420 eV per atom
SG: P4/mmm (123)